Mg14MnCu: optimized geometry, PBE-GGA.

a b c (Å): 10.085 6.211 6.211
angles (deg): 60.36 90.00 90.00
Atoms (fractional coordinates):
Mg 0.000 0.000 0.000
Mg 0.000 0.496 0.998
Mg 0.000 0.499 0.499
Mg 0.000 0.998 0.496
Mg 0.253 0.833 0.833
Mg 0.257 0.333 0.333
Mg 0.271 0.328 0.825
Mg 0.271 0.825 0.328
Mg 0.500 0.004 0.509
Mg 0.500 0.509 0.004
Mg 0.729 0.328 0.825
Mg 0.729 0.825 0.328
Mg 0.743 0.333 0.333
Mg 0.747 0.833 0.833
Mn 0.500 0.996 0.996
Cu 0.500 0.496 0.496

Results
Density of states at the Fermi level: 6.1 states/eV per cell
Energy of formation: 0.0546 eV/atom

***

TcIrRu2: optimized geometry, PBE-GGA.

a b c (Å): 4.733 2.735 8.924
angles (deg): 90.00 100.22 90.00
Atoms (fractional coordinates):
Tc 0.000 0.000 0.000
Tc 0.500 0.500 0.000
Ir 0.165 0.000 0.495
Ir 0.665 0.500 0.495
Ru 0.083 0.500 0.754
Ru 0.247 0.500 0.242
Ru 0.583 0.000 0.754
Ru 0.747 0.000 0.242

Results
Density of states at the Fermi level: 6.8 states/eV per cell
Energy of formation: -0.0492 eV/atom

***

CaMgIn2: optimized geometry, PBE-GGA.

a b c (Å): 3.717 4.831 6.244
angles (deg): 90.00 106.30 90.00
Atoms (fractional coordinates):
Ca 0.000 0.000 0.000
Mg 0.308 0.500 0.638
In 0.582 0.500 0.178
In 0.728 0.000 0.480

Results
Density of states at the Fermi level: 1.5 states/eV per cell
Energy of formation: -0.2475 eV/atom

***

Ho3Mg2Hg: optimized geometry, PBE-GGA.

a b c (Å): 3.784 3.784 11.030
angles (deg): 90.00 90.00 90.00
Atoms (fractional coordinates):
Ho 0.000 0.000 0.000
Ho 0.000 0.000 0.338
Ho 0.000 0.000 0.662
Mg 0.500 0.500 0.166
Mg 0.500 0.500 0.834
Hg 0.500 0.500 0.500

Results
Density of states at the Fermi level: 7.0 states/eV per cell
Energy of formation: -0.2106 eV/atom

***

Hf3Ge2: optimized geometry, PBE-GGA.

a b c (Å): 7.162 7.162 3.702
angles (deg): 90.00 90.00 90.00
Atoms (fractional coordinates):
Hf 0.000 0.000 0.000
Hf 0.170 0.330 0.500
Hf 0.330 0.830 0.500
Hf 0.500 0.500 0.000
Hf 0.670 0.170 0.500
Hf 0.830 0.670 0.500
Ge 0.131 0.631 0.000
Ge 0.369 0.131 0.000
Ge 0.631 0.869 0.000
Ge 0.869 0.369 0.000

Results
Density of states at the Fermi level: 7.6 states/eV per cell
Energy of formation: -0.6986 eV/atom

***

Cs3Tl2In4: optimized geometry, PBE-GGA.

a b c (Å): 5.512 7.708 10.582
angles (deg): 71.08 74.98 69.06
Atoms (fractional coordinates):
Cs 0.000 0.000 0.000
Cs 0.386 0.870 0.358
Cs 0.614 0.130 0.642
Tl 0.302 0.648 0.752
Tl 0.698 0.352 0.248
In 0.091 0.453 0.363
In 0.262 0.407 0.066
In 0.738 0.593 0.934
In 0.909 0.547 0.637

Results
Density of states at the Fermi level: 6.8 states/eV per cell
Energy of formation: -0.0607 eV/atom

***

Zr4Fe7Ge6: optimized geometry, PBE-GGA.

a b c (Å): 6.867 6.867 6.867
angles (deg): 109.47 109.47 109.47
Atoms (fractional coordinates):
Zr 0.000 0.000 0.500
Zr 0.000 0.500 0.000
Zr 0.500 0.000 0.000
Zr 0.500 0.500 0.500
Fe 0.000 0.000 0.000
Fe 0.250 0.500 0.750
Fe 0.250 0.750 0.500
Fe 0.500 0.250 0.750
Fe 0.500 0.750 0.250
Fe 0.750 0.250 0.500
Fe 0.750 0.500 0.250
Ge 0.000 0.315 0.315
Ge 0.000 0.685 0.685
Ge 0.315 0.000 0.315
Ge 0.315 0.315 0.000
Ge 0.685 0.000 0.685
Ge 0.685 0.685 0.000

Results
Density of states at the Fermi level: 13.9 states/eV per cell
Energy of formation: -0.4662 eV/atom

***

Rb3TiAg: optimized geometry, PBE-GGA.

a b c (Å): 6.709 6.709 6.709
angles (deg): 90.00 90.00 90.00
Atoms (fractional coordinates):
Rb 0.000 0.000 0.500
Rb 0.000 0.500 0.000
Rb 0.500 0.000 0.000
Ti 0.500 0.500 0.500
Ag 0.000 0.000 0.000

Results
Density of states at the Fermi level: 8.4 states/eV per cell
Energy of formation: 0.9852 eV/atom

***

K3Ho3SnSe8: optimized geometry, PBE-GGA.

a b c (Å): 9.186 9.186 9.186
angles (deg): 53.41 53.41 53.41
Atoms (fractional coordinates):
K 0.000 0.500 0.500
K 0.500 0.000 0.500
K 0.500 0.500 0.000
Ho 0.000 0.000 0.500
Ho 0.000 0.500 0.000
Ho 0.500 0.000 0.000
Sn 0.500 0.500 0.500
Se 0.234 0.234 0.234
Se 0.244 0.728 0.728
Se 0.272 0.272 0.756
Se 0.272 0.756 0.272
Se 0.728 0.244 0.728
Se 0.728 0.728 0.244
Se 0.756 0.272 0.272
Se 0.766 0.766 0.766

Results
Density of states at the Fermi level: 1.4 states/eV per cell
Energy relative to the elements, uncorrected: -1.460 eV per atom

***

ScMn4Cr: optimized geometry, PBE-GGA.

a b c (Å): 4.791 4.791 4.791
angles (deg): 60.00 60.00 60.00
Atoms (fractional coordinates):
Sc 0.000 0.000 0.000
Mn 0.375 0.375 0.375
Mn 0.375 0.375 0.875
Mn 0.375 0.875 0.375
Mn 0.875 0.375 0.375
Cr 0.750 0.750 0.750

Results
Density of states at the Fermi level: 9.4 states/eV per cell
Energy of formation: 0.0505 eV/atom

***

RbCaP: optimized geometry, PBE-GGA.

a b c (Å): 4.783 4.783 5.700
angles (deg): 90.00 90.00 120.00
Atoms (fractional coordinates):
Rb 0.000 0.000 0.000
Ca 0.667 0.333 0.480
P 0.333 0.667 0.420

Results
Density of states at the Fermi level: 0.1 states/eV per cell
Energy of formation: -0.5422 eV/atom